Entry 1:
This record from OQMD describes a relaxed Be3Au crystal. The functional is PBE.

```
Be3Au
1.0
2.4815 1.4327 10.0035
-2.4815 1.4327 10.0035
0.0000 -2.8654 10.0035
Au Be
5 15
Cartesian
0.0000 0.0000 0.0000
0.0000 0.0000 3.9648
0.0000 0.0000 11.9984
0.0000 0.0000 18.0121
0.0000 0.0000 26.0457
0.0000 1.4327 10.0035
1.1391 0.6576 8.0062
-1.1391 0.6576 8.0062
0.0000 1.4383 14.0004
1.2456 0.7191 16.0101
-1.2456 0.7191 16.0101
0.0000 1.3153 22.0043
1.2408 -0.7164 10.0035
-1.2408 -0.7164 10.0035
0.0000 -1.3153 8.0062
1.2456 -0.7191 14.0004
-1.2456 -0.7191 14.0004
0.0000 -1.4383 16.0101
1.1391 -0.6576 22.0043
-1.1391 -0.6576 22.0043
```

- crystal system = trigonal

=====

Entry 2:
This record from OQMD describes a relaxed CuSnW crystal. The functional is PBE.

```
CuSnW
1.0
0.0000 3.0266 3.0266
3.0266 0.0000 3.0266
3.0266 3.0266 0.0000
Cu Sn W
1 1 1
Cartesian
0.0000 0.0000 0.0000
1.5133 1.5133 1.5133
4.5399 4.5399 4.5399
```

- magnetization (μB per formula unit) = 1.92
- crystal system = cubic

=====

Result set for calculated total energy: -3.67; -6.02 eV per atom, one per record in the order listed.